Compound: TaCoGeRh
Source: Alexandria
Functional: PBE-GGA
Structure: optimized geometry

Symmetry: F-43m, No. 216
E_form, meV per atom: -241

Geometry as POSCAR:
```
TaCoGeRh
1.0
-4.003 1.259 1.095
-1.940 -1.722 3.475
-0.620 2.408 3.553
Co Ge Rh Ta
1 1 1 1
direct
0.250 0.250 0.250 Co
0.000 0.000 0.000 Ge
0.750 0.750 0.750 Rh
0.500 0.500 0.500 Ta
```